Compound: In2Fe2O
Source: Alexandria
Functional: GGA+U
Structure: relaxed

Geometry as CIF:
```
data_In2Fe2O
_chemical_formula_sum 'In4 Fe4 O2'
_cell_length_a 4.483
_cell_length_b 4.483
_cell_length_c 14.492
_cell_angle_alpha 90.00
_cell_angle_beta 90.00
_cell_angle_gamma 90.00
_space_group_name_H-M_alt 'I 4/m m m'
_space_group_IT_number 139
_space_group_name_Hall '-I 4 2'
loop_
_atom_site_label
_atom_site_fract_x
_atom_site_fract_y
_atom_site_fract_z
_atom_site_occupancy
In1 0.000 0.500 0.250 1
Fe1 0.000 0.000 0.124 1
O1 0.000 0.000 0.000 1
```

Summary:
energy: -4.243 eV per atom
V: 291.3 Å³/cell